Record 1
{
  "formula": "NdGdGa4Ni2",
  "functional": "PBE",
  "state": "optimized geometry",
  "lattice_angstrom": [[-3.587, -0.225, -1.984], [-1.526, -8.085, 3.677], [-3.210, -5.447, 6.423]],
  "species": ["Ga", "Ga", "Ga", "Ga", "Gd", "Nd", "Ni", "Ni"],
  "fractional_positions": [[0.500, 0.210, 0.210], [0.500, 0.499, 0.499], [0.500, 0.792, 0.792], [0.000, 0.999, 0.999], [0.000, 0.359, 0.359], [0.000, 0.642, 0.642], [0.500, 0.074, 0.074], [0.500, 0.926, 0.926]],
  "space_group": "No. 38",
  "dft_energy_ry_per_atom": -0.347
}

Record 2
{
  "formula": "NdGdGa2Ni4",
  "functional": "PBE",
  "state": "optimized geometry",
  "lattice_angstrom": [[4.155, 0.000, 0.000], [-2.078, 3.599, 0.000], [0.000, 0.000, 9.162]],
  "species": ["Ga", "Ga", "Gd", "Nd", "Ni", "Ni", "Ni", "Ni"],
  "fractional_positions": [[0.667, 0.333, 0.240], [0.667, 0.333, 0.760], [0.000, 0.000, 0.000], [0.333, 0.667, 0.500], [0.333, 0.667, 0.188], [0.000, 0.000, 0.298], [0.000, 0.000, 0.702], [0.333, 0.667, 0.812]],
  "space_group": "No. 187",
  "dft_energy_ry_per_atom": -0.386
}

Record 3
{
  "formula": "NdGdGa4Pd2",
  "functional": "PBE",
  "state": "optimized geometry",
  "lattice_angstrom": [[-0.737, -2.459, 3.329], [3.773, 6.549, 5.672], [-0.345, 7.632, 5.561]],
  "species": ["Ga", "Ga", "Ga", "Ga", "Gd", "Nd", "Pd", "Pd"],
  "fractional_positions": [[0.500, 0.215, 0.215], [0.500, 0.499, 0.499], [0.500, 0.786, 0.786], [0.000, 0.999, 0.999], [0.000, 0.356, 0.356], [0.000, 0.645, 0.645], [0.500, 0.079, 0.079], [0.500, 0.920, 0.920]],
  "space_group": "No. 38",
  "dft_energy_ry_per_atom": -0.348
}

Record 4
{
  "formula": "NdGdZn2Ga2",
  "functional": "PBE",
  "state": "optimized geometry",
  "lattice_angstrom": [[4.465, 0.000, 0.000], [-2.232, 3.866, 0.000], [0.000, 0.000, 7.412]],
  "species": ["Ga", "Ga", "Gd", "Nd", "Zn", "Zn"],
  "fractional_positions": [[0.333, 0.667, 0.478], [0.667, 0.333, 0.962], [0.000, 0.000, 0.749], [0.000, 0.000, 0.250], [0.333, 0.667, 0.018], [0.667, 0.333, 0.542]],
  "space_group": "No. 156",
  "dft_energy_ry_per_atom": -0.263
}

Record 5
{
  "formula": "GdGa2Ni",
  "functional": "PBE",
  "state": "optimized geometry",
  "lattice_angstrom": [[-4.744, -0.155, 7.638], [1.421, -2.089, -8.631], [1.945, -3.385, 1.139]],
  "species": ["Ga", "Ga", "Ga", "Ga", "Gd", "Gd", "Ni", "Ni"],
  "fractional_positions": [[0.000, 0.000, 0.000], [0.791, 0.209, 0.500], [0.500, 0.500, 0.500], [0.209, 0.791, 0.500], [0.642, 0.358, 0.000], [0.358, 0.642, 0.000], [0.925, 0.075, 0.500], [0.075, 0.925, 0.500]],
  "space_group": "No. 65",
  "dft_energy_ry_per_atom": -0.347
}

Record 6
{
  "formula": "GdGa2Ni3",
  "functional": "PBE",
  "state": "optimized geometry",
  "lattice_angstrom": [[4.477, -7.756, 0.000], [4.477, 7.756, 0.000], [0.000, 0.000, 3.927]],
  "species": ["Ga", "Ga", "Ga", "Ga", "Ga", "Ga", "Gd", "Gd", "Gd", "Ni", "Ni", "Ni", "Ni", "Ni", "Ni", "Ni", "Ni", "Ni"],
  "fractional_positions": [[0.316, 0.000, 0.500], [0.684, 0.000, 0.500], [0.000, 0.316, 0.500], [0.316, 0.316, 0.500], [0.684, 0.684, 0.500], [0.000, 0.684, 0.500], [0.000, 0.000, 0.000], [0.667, 0.333, 0.500], [0.333, 0.667, 0.500], [0.500, 0.000, 0.000], [0.820, 0.180, 0.000], [0.360, 0.180, 0.000], [0.180, 0.360, 0.000], [0.000, 0.500, 0.000], [0.500, 0.500, 0.000], [0.820, 0.640, 0.000], [0.640, 0.820, 0.000], [0.180, 0.820, 0.000]],
  "space_group": "No. 191",
  "e_above_lowest_polymorph_kj_per_mol_atoms": 0.00
}

Record 7
{
  "formula": "Gd6GaNi2",
  "functional": "PBE",
  "state": "optimized geometry",
  "lattice_angstrom": [[-4.633, 4.864, 5.049], [4.633, -4.864, 5.049], [4.633, 4.864, -5.049]],
  "species": ["Ga", "Ga", "Gd", "Gd", "Gd", "Gd", "Gd", "Gd", "Gd", "Gd", "Gd", "Gd", "Gd", "Gd", "Ni", "Ni", "Ni", "Ni"],
  "fractional_positions": [[0.000, 0.000, 0.000], [0.500, 0.500, 0.000], [0.320, 0.785, 0.105], [0.456, 0.263, 0.193], [0.930, 0.737, 0.193], [0.826, 0.135, 0.309], [0.174, 0.483, 0.309], [0.680, 0.785, 0.465], [0.320, 0.215, 0.535], [0.826, 0.517, 0.691], [0.174, 0.865, 0.691], [0.070, 0.263, 0.807], [0.544, 0.737, 0.807], [0.680, 0.215, 0.895], [0.844, 0.500, 0.344], [0.621, 0.121, 0.500], [0.379, 0.879, 0.500], [0.156, 0.500, 0.656]],
  "space_group": "No. 71",
  "dft_energy_ry_per_atom": -0.369
}

Record 8
{
  "formula": "Gd3Ga2Ni6",
  "functional": "PBE",
  "state": "optimized geometry",
  "lattice_angstrom": [[0.596, -7.396, -2.175], [-6.698, 1.063, 3.714], [0.233, 4.550, -6.248]],
  "species": ["Ga", "Ga", "Ga", "Ga", "Gd", "Gd", "Gd", "Gd", "Gd", "Gd", "Ni", "Ni", "Ni", "Ni", "Ni", "Ni", "Ni", "Ni", "Ni", "Ni", "Ni", "Ni"],
  "fractional_positions": [[0.500, 0.000, 0.000], [0.000, 0.500, 0.000], [0.000, 0.000, 0.500], [0.500, 0.500, 0.500], [0.290, 0.290, 0.000], [0.710, 0.710, 0.000], [0.290, 0.000, 0.290], [0.000, 0.290, 0.290], [0.710, 0.000, 0.710], [0.000, 0.710, 0.710], [0.663, 0.337, 0.000], [0.337, 0.663, 0.000], [0.663, 0.663, 0.327], [0.337, 0.673, 0.337], [0.663, 0.000, 0.337], [0.000, 0.663, 0.337], [0.673, 0.337, 0.337], [0.337, 0.000, 0.663], [0.663, 0.327, 0.663], [0.000, 0.337, 0.663], [0.327, 0.663, 0.663], [0.337, 0.337, 0.673]],
  "space_group": "No. 229",
  "dft_energy_ry_per_atom": -0.396
}